K2AlW | Alexandria via LeMat-Bulk | PBE-GGA | relaxed; total magnetic moment = 0.013 μB per atom; DOS(E_F) = 1.0106 states/eV/atom; calculated formation energy = 0.875 eV per atom
1.0
2.9390 0.0373 0.0000
-0.0535 2.9388 0.0000
0.0000 0.0000 12.0402
Al K W
1 2 1
Direct
0.5000 0.5000 0.7068
0.5000 0.5000 0.3032
0.0000 0.0000 0.9428
0.0000 0.0000 0.5472


CrCuOs | Alexandria via LeMat-Bulk | PBE-GGA | relaxed; offset from the most stable computed form = 138.0 meV per atom; total magnetic moment = 0.001 μB per atom; DOS(E_F) = 0.9798 states/eV/atom; calculated formation energy = 0.341 eV per atom
1.0
3.7726 1.1668 -0.6520
3.0402 3.6629 -0.4366
-2.7910 -0.2742 8.0132
Os Cu Cr
2 2 2
Direct
0.9280 0.2596 0.3056
0.4474 0.3791 0.9454
0.2792 0.5846 0.4812
0.7066 0.8132 0.1384
0.6094 0.9063 0.6329
0.1672 0.0097 0.7962


ScNbW2 | Alexandria via LeMat-Bulk | PBE-GGA | relaxed; offset from the most stable computed form = 0.0 meV per atom; total magnetic moment = 0.000 μB per atom; DOS(E_F) = 1.5606 states/eV/atom; calculated formation energy = 0.267 eV per atom
1.0
-2.4317 -3.9155 0.4457
-2.9006 -0.5304 3.5704
-4.5756 0.0225 -0.7111
W Nb Sc
2 1 1
Direct
0.2500 0.2500 0.2500
0.7500 0.7500 0.7500
0.5000 0.5000 0.5000
0.0000 0.0000 0.0000


K3Ac2PrS6 | Alexandria via LeMat-Bulk | PBE-GGA | relaxed; total magnetic moment = 0.000 μB per atom; DOS(E_F) = 0.0000 states/eV/atom; ΔE_f (raw) = -22.47 eV/f.u.
1.0
-3.7240 1.0629 -2.0171
-4.5478 -5.3589 5.5724
1.9965 8.1773 5.3494
Pr Ac K S
1 2 3 6
Direct
0.5000 0.0000 0.0000
0.8347 0.6702 0.6693
0.1653 0.3298 0.3307
0.8342 0.1670 0.6684
0.1658 0.8330 0.3316
0.5000 0.5000 0.0000
0.3455 0.9034 0.6911
0.9938 0.7800 0.9875
0.0062 0.2200 0.0125
0.3259 0.4364 0.6518
0.6741 0.5636 0.3482
0.6545 0.0966 0.3089


PbSCl2 | Alexandria via LeMat-Bulk | PBE-GGA | relaxed; offset from the most stable computed form = 561.7 meV per atom; total magnetic moment = 0.000 μB per atom; DOS(E_F) = 0.0000 states/eV/atom; ΔE_f (raw) = -0.57 eV/f.u.
1.0
-3.4791 2.4633 5.7240
-0.2968 5.8603 4.0626
-4.6052 5.1663 1.7426
S Cl Pb
1 2 1
Direct
0.0000 0.0000 0.0000
0.1201 0.1201 0.1201
0.8799 0.8799 0.8799
0.5000 0.5000 0.5000


Ac6TlCd5 | Alexandria via LeMat-Bulk | PBE-GGA | relaxed; total magnetic moment = 0.000 μB per atom; DOS(E_F) = 1.2406 states/eV/atom; calculated formation energy = -0.305 eV per atom
1.0
5.5656 -0.0050 -1.5603
-4.1638 8.0740 -4.1710
-0.2201 -1.1594 9.9263
Tl Cd Ac
1 5 6
Direct
0.0000 0.0000 0.0000
0.5000 0.5000 0.5000
0.0000 0.3326 0.6674
0.5000 0.1681 0.8319
0.0000 0.6674 0.3326
0.5000 0.8319 0.1681
0.7515 0.2517 0.2517
0.7492 0.9162 0.5821
0.7492 0.5821 0.9162
0.2508 0.4179 0.0838
0.2508 0.0838 0.4179
0.2485 0.7483 0.7483


Sr6As2Se3I | Alexandria via LeMat-Bulk | PBE-GGA | relaxed; total magnetic moment = 0.000 μB per atom; DOS(E_F) = 0.5678 states/eV/atom; ΔE_f (raw) = -19.42 eV/f.u.
1.0
4.3895 0.0000 0.0000
0.0000 9.3262 0.3173
-2.1947 -2.7020 9.5333
Sr Se As I
6 3 2 1
Direct
0.6771 0.0900 0.3542
0.3229 0.9100 0.6458
0.6700 0.5854 0.3400
0.9968 0.7230 0.9937
0.3300 0.4146 0.6600
0.0032 0.2770 0.0063
0.5000 0.5000 0.0000
0.1607 0.8357 0.3213
0.8393 0.1643 0.6787
0.8355 0.6705 0.6710
0.1645 0.3295 0.3290
0.5000 0.0000 0.0000


Na2BiH | Alexandria via LeMat-Bulk | PBE-GGA | relaxed; offset from the most stable computed form = 16.6 meV per atom; total magnetic moment = 0.000 μB per atom; DOS(E_F) = 0.2537 states/eV/atom
1.0
-0.2131 2.9174 1.9723
-2.8960 2.0105 -0.1315
-4.3134 -2.6827 6.6574
Na H Bi
2 1 1
Direct
0.0574 0.0574 0.8279
0.2759 0.2759 0.1723
0.6675 0.6675 0.9974
0.4992 0.4992 0.5025


MgNb3As | Alexandria via LeMat-Bulk | PBE-GGA | relaxed; offset from the most stable computed form = 1061.1 meV per atom; total magnetic moment = 0.000 μB per atom; DOS(E_F) = 1.4141 states/eV/atom; calculated formation energy = 1.644 eV per atom
1.0
4.7479 0.0000 0.0000
0.0000 4.7479 0.0000
0.0000 0.0000 4.7479
As Nb Mg
1 3 1
Direct
0.5000 0.5000 0.5000
0.5000 0.0000 0.0000
0.0000 0.0000 0.5000
0.0000 0.5000 0.0000
0.0000 0.0000 0.0000


SrCa2Nb | Alexandria via LeMat-Bulk | PBE-GGA | relaxed; offset from the most stable computed form = 0.0 meV per atom; total magnetic moment = 0.738 μB per atom; DOS(E_F) = 0.4590 states/eV/atom; calculated formation energy = 0.645 eV per atom
1.0
0.0000 4.0774 4.0774
4.0774 0.0000 4.0774
4.0774 4.0774 0.0000
Sr Nb Ca
1 1 2
Direct
0.0000 0.0000 0.0000
0.5000 0.5000 0.5000
0.7500 0.7500 0.7500
0.2500 0.2500 0.2500


PuPaTcAu | Alexandria via LeMat-Bulk | PBE-GGA | relaxed; offset from the most stable computed form = 132.3 meV per atom; total magnetic moment = 1.468 μB per atom; DOS(E_F) = 2.5481 states/eV/atom; calculated formation energy = -0.088 eV per atom
1.0
4.9628 0.0000 0.0000
2.4814 4.2979 0.0000
2.4814 1.4326 4.0521
Pu Au Tc Pa
1 1 1 1
Direct
0.7500 0.7500 0.7500
0.0000 0.0000 0.0000
0.5000 0.5000 0.5000
0.2500 0.2500 0.2500


NiAg2Os | Alexandria via LeMat-Bulk | PBE-GGA | relaxed; offset from the most stable computed form = 327.3 meV per atom; total magnetic moment = 0.197 μB per atom; DOS(E_F) = 1.3930 states/eV/atom; calculated formation energy = 0.641 eV per atom
1.0
-3.5469 -1.6965 3.1919
4.5897 -2.0742 0.5282
0.6526 1.8837 1.7263
Os Ag Ni
1 2 1
Direct
0.0000 0.5000 0.5000
0.5000 0.5000 0.0000
0.0000 0.0000 0.0000
0.5000 0.0000 0.5000


Tm4HgOs | Alexandria via LeMat-Bulk | PBE-GGA | relaxed; offset from the most stable computed form = 141.8 meV per atom; total magnetic moment = 0.000 μB per atom; DOS(E_F) = 0.9510 states/eV/atom; calculated formation energy = -0.234 eV per atom
1.0
-3.8560 3.0414 0.1881
-4.5014 -1.6695 -1.0793
-3.9086 -1.4342 7.2694
Tm Hg Os
4 1 1
Direct
0.6334 0.6334 0.0998
0.3666 0.3666 0.9002
0.8833 0.8838 0.3497
0.1167 0.1162 0.6503
0.5000 0.5000 0.5000
0.0000 0.0000 0.0000


Cs3MgPb4 | Alexandria via LeMat-Bulk | PBE-GGA | relaxed; total magnetic moment = 0.000 μB per atom; DOS(E_F) = 0.2326 states/eV/atom; calculated formation energy = -0.185 eV per atom
1.0
6.8913 0.0000 0.0000
0.0000 7.6090 0.0000
0.0000 0.0000 14.6121
Cs Mg Pb
6 2 8
Direct
0.8226 0.5000 0.7405
0.4487 0.5000 0.5000
0.8226 0.5000 0.2595
0.5513 0.0000 0.0000
0.1774 0.0000 0.7595
0.1774 0.0000 0.2405
0.7088 0.5000 0.0000
0.2912 0.0000 0.5000
0.3183 0.5000 0.1092
0.9546 0.7444 0.5000
0.6817 0.0000 0.6092
0.0454 0.2444 0.0000
0.6817 0.0000 0.3908
0.9546 0.2556 0.5000
0.0454 0.7556 0.0000
0.3183 0.5000 0.8908


Ba2Sn6Au3 | Alexandria via LeMat-Bulk | PBE-GGA | relaxed; total magnetic moment = 0.000 μB per atom; DOS(E_F) = 0.3148 states/eV/atom; calculated formation energy = -0.456 eV per atom
1.0
4.8927 0.0000 0.0000
0.0000 7.4868 -4.3225
0.0000 0.0000 8.6450
Ba Au Sn
2 3 6
Direct
0.0000 0.3333 0.6667
0.0000 0.6667 0.3333
0.5000 0.6400 0.0000
0.5000 0.3600 0.3600
0.5000 0.0000 0.6400
0.0000 0.2027 0.2027
0.5000 0.3196 0.0000
0.5000 0.6804 0.6804
0.5000 0.0000 0.3196
0.0000 0.0000 0.7973
0.0000 0.7973 0.0000


CaTa2As | Alexandria via LeMat-Bulk | PBE-GGA | relaxed; total magnetic moment = 0.000 μB per atom; DOS(E_F) = 0.8383 states/eV/atom; calculated formation energy = 0.261 eV per atom
1.0
5.2810 0.0000 0.0000
0.0000 3.0046 -0.0099
0.0000 0.1549 5.1322
Ta Ca As
2 1 1
Direct
0.0000 0.1201 0.9977
0.0000 0.3799 0.5023
0.5000 0.7500 0.7500
0.5000 0.2500 0.2500


CrAu | Alexandria via LeMat-Bulk | PBE-GGA | relaxed; total magnetic moment = 1.833 μB per atom; DOS(E_F) = 1.5947 states/eV/atom; calculated formation energy = 0.404 eV per atom
1.0
4.5570 0.0000 0.0000
2.2785 3.9465 0.0000
2.2785 1.3155 3.7208
Au Cr
2 2
Direct
0.0000 0.0000 0.0000
0.7500 0.7500 0.7500
0.2500 0.2500 0.2500
0.5000 0.5000 0.5000


Ta6Ga3Ge | Alexandria via LeMat-Bulk | PBE-GGA | relaxed; total magnetic moment = 0.000 μB per atom; DOS(E_F) = 0.6837 states/eV/atom; calculated formation energy = 0.062 eV per atom
1.0
-2.1938 3.3340 -5.8742
-2.8812 -5.5281 -2.0616
-6.4852 2.0253 3.6327
Ga Ge Ta
6 2 12
Direct
0.0564 0.6983 0.2568
0.5000 0.5000 0.0000
0.4436 0.1983 0.2432
0.9436 0.3017 0.7432
0.0000 0.0000 0.5000
0.5564 0.8017 0.7568
0.0000 0.0000 0.0000
0.5000 0.5000 0.5000
0.2002 0.6196 0.7528
0.3386 0.8591 0.0558
0.8386 0.6409 0.5558
0.2998 0.1196 0.7472
0.8540 0.6433 0.9434
0.1460 0.3567 0.0566
0.3540 0.8567 0.4434
0.7002 0.8804 0.2528
0.6614 0.1409 0.9442
0.1614 0.3591 0.4442
0.7998 0.3804 0.2472
0.6460 0.1433 0.5566


Tb3HoFe | Alexandria via LeMat-Bulk | PBE-GGA | relaxed; total magnetic moment = 0.000 μB per atom; DOS(E_F) = 1.7018 states/eV/atom; calculated formation energy = 0.140 eV per atom
1.0
5.2794 0.0000 0.0000
0.0000 5.2794 0.0000
0.0000 0.0000 5.2794
Ho Tb Fe
1 3 1
Direct
0.5000 0.5000 0.5000
0.0000 0.0000 0.5000
0.0000 0.5000 0.0000
0.5000 0.0000 0.0000
0.0000 0.0000 0.0000


KTb4YS8 | Alexandria via LeMat-Bulk | PBE-GGA | relaxed; total magnetic moment = 0.000 μB per atom; DOS(E_F) = 0.0000 states/eV/atom; ΔE_f (raw) = -27.13 eV/f.u.
1.0
-0.0875 8.1642 -1.1802
-2.3354 3.0899 -7.2837
-7.1793 3.9932 -0.6758
S Tb K Y
8 4 1 1
Direct
0.7580 0.2274 0.2566
0.7993 0.2333 0.7341
0.2333 0.7993 0.7341
0.2335 0.2335 0.2996
0.7580 0.7580 0.2566
0.2274 0.7580 0.2566
0.7574 0.7574 0.7277
0.2333 0.2333 0.7341
0.6250 0.6250 0.1249
0.0044 0.0044 0.5047
0.4865 0.0044 0.5047
0.0044 0.4865 0.5047
0.3750 0.3750 0.8751
0.0045 0.0045 0.9866